Record 1
Crystalline CuReHg2 at its relaxed geometry. Source: the Alexandria database, functional PBE-GGA.

- E above lowest polymorph (meV per atom) = 448.9
- E_form (eV/atom) = 0.994

Cell: 4.6551 4.6551 4.6551 Å, 60.00 60.00 60.00°
Positions (direct):
Hg (0.0000, 0.0000, 0.0000)
Re (0.7500, 0.7500, 0.7500)
Cu (0.5000, 0.5000, 0.5000)
Hg (0.2500, 0.2500, 0.2500)

---

Record 2
Crystalline TcPb3 at its relaxed geometry. Source: the Alexandria database, functional PBE-GGA.

- E above lowest polymorph (meV per atom) = 120.7
- E_form (eV/atom) = 0.427

Cell: 5.7591 5.7591 5.7591 Å, 144.12 112.24 79.12°
Positions (direct):
Pb (0.8346, 0.2500, 0.5846)
Tc (0.4977, 0.7500, 0.7477)
Pb (0.4408, 0.4403, 0.0005)
Pb (0.0602, 0.0597, 0.0005)

---

Record 3
Crystalline Tm2FeNi3Ge4 at its relaxed geometry. Source: the Alexandria database, functional PBE-GGA.

- E_form (eV/atom) = -0.608

Cell: 3.9899 3.9899 9.8846 Å, 90.00 90.00 90.00°
Positions (direct):
Ni (0.5000, 0.0000, 0.8672)
Tm (0.5000, 0.0000, 0.2496)
Ge (0.0000, 0.0000, 0.0000)
Tm (0.0000, 0.5000, 0.7504)
Ni (0.0000, 0.0000, 0.5000)
Ge (0.0000, 0.5000, 0.3688)
Fe (0.5000, 0.5000, 0.5000)
Ge (0.5000, 0.0000, 0.6312)
Ge (0.5000, 0.5000, 0.0000)
Ni (0.0000, 0.5000, 0.1328)

---

Record 4
Crystalline Ce2AuF at its relaxed geometry. Source: the Alexandria database, functional PBE-GGA.

- uncorrected formation energy (eV/atom) = -1.202
- E above lowest polymorph (meV per atom) = 189.5

Cell: 3.2983 3.2983 7.6628 Å, 90.00 90.00 90.00°
Positions (direct):
F (0.5000, 0.5000, 0.0000)
Ce (0.0000, 0.0000, 0.7711)
Ce (0.0000, 0.0000, 0.2289)
Au (0.5000, 0.5000, 0.5000)

---

Record 5
Crystalline BaMgZn3 at its relaxed geometry. Source: the Alexandria database, functional PBE-GGA.

- E above lowest polymorph (meV per atom) = 47.6
- E_form (eV/atom) = -0.097

Cell: 6.3380 6.7808 6.7806 Å, 120.01 90.00 90.00°
Positions (direct):
Mg (0.0000, 0.0000, 0.0000)
Ba (0.7500, 0.6667, 0.3334)
Zn (0.2500, 0.4041, 0.2020)
Zn (0.2500, 0.7979, 0.2020)
Zn (0.7500, 0.2020, 0.4041)
Zn (0.2500, 0.7980, 0.5959)
Zn (0.7500, 0.5959, 0.7980)
Ba (0.2500, 0.3333, 0.6666)
Zn (0.7500, 0.2021, 0.7980)
Mg (0.5000, 0.0000, 0.0000)

---

Record 6
Crystalline MgMnCr2 at its relaxed geometry. Source: the Alexandria database, functional PBE-GGA.

- E_form (eV/atom) = 0.498

Cell: 4.9020 4.9020 4.9020 Å, 137.75 137.75 61.29°
Positions (direct):
Mn (0.7500, 0.2500, 0.5000)
Mg (0.2500, 0.7500, 0.5000)
Cr (0.0000, 0.0000, 0.0000)
Cr (0.5000, 0.5000, 0.0000)

---

Record 7
Crystalline MgInPt5 at its relaxed geometry. Source: the Alexandria database, functional PBE-GGA.

- E_form (eV/atom) = -0.272

Cell: 3.9521 3.9521 7.9506 Å, 90.00 90.00 90.00°
Positions (direct):
Pt (0.5000, 0.0000, 0.7608)
In (0.0000, 0.0000, 0.5000)
Pt (0.5000, 0.5000, 0.5000)
Pt (0.0000, 0.5000, 0.7608)
Pt (0.5000, 0.0000, 0.2392)
Pt (0.0000, 0.5000, 0.2392)
Mg (0.5000, 0.5000, 0.0000)

---

Record 8
Crystalline ZnTcO6 at its relaxed geometry. Source: the Alexandria database, functional PBE-GGA.

- uncorrected formation energy (eV/atom) = -0.493

Cell: 5.5499 5.5499 5.5499 Å, 60.00 60.00 60.00°
Positions (direct):
O (0.2377, 0.7623, 0.2377)
Zn (0.5000, 0.5000, 0.5000)
O (0.2377, 0.2377, 0.7623)
O (0.7623, 0.7623, 0.2377)
O (0.2377, 0.7623, 0.7623)
O (0.7623, 0.2377, 0.7623)
O (0.7623, 0.2377, 0.2377)
Tc (0.0000, 0.0000, 0.0000)

---

Record 9
Crystalline Nd3Fe at its relaxed geometry. Source: the Alexandria database, functional PBE-GGA.

- E_form (eV/atom) = 0.107

Cell: 3.8334 6.4591 9.6967 Å, 90.00 90.00 107.31°
Positions (direct):
Nd (0.1421, 0.2843, 0.5731)
Nd (0.4152, 0.8316, 0.7500)
Nd (0.1421, 0.2843, 0.9269)
Fe (0.2487, 0.4961, 0.2500)
Nd (0.8579, 0.7157, 0.0731)
Nd (0.8579, 0.7157, 0.4269)
Nd (0.5848, 0.1684, 0.2500)
Fe (0.7513, 0.5039, 0.7500)

---

Record 10
Crystalline RbSnSe2Br at its relaxed geometry. Source: the Alexandria database, functional PBE-GGA.

- uncorrected formation energy (eV/atom) = 0.494
- E above lowest polymorph (meV per atom) = 1129.5

Cell: 5.7012 5.7012 5.9978 Å, 90.00 90.00 90.00°
Positions (direct):
Se (0.0000, 0.5000, 0.0000)
Se (0.5000, 0.0000, 0.0000)
Rb (0.0000, 0.0000, 0.0000)
Sn (0.5000, 0.5000, 0.5000)
Br (0.0000, 0.0000, 0.5000)

---

Record 11
Crystalline Ba2Ga5Cu at its relaxed geometry. Source: the Alexandria database, functional PBE-GGA.

- E_form (eV/atom) = -0.333

Cell: 4.6530 9.2777 9.3906 Å, 90.00 90.00 104.52°
Positions (direct):
Ga (0.8163, 0.6327, 0.3916)
Ga (0.5805, 0.1609, 0.7500)
Ga (0.3568, 0.7136, 0.9832)
Ga (0.6432, 0.2864, 0.0168)
Ba (0.0000, 0.0000, 0.5000)
Ba (0.0000, 0.0000, 0.0000)
Ga (0.8163, 0.6327, 0.1084)
Ga (0.3568, 0.7136, 0.5168)
Ga (0.6432, 0.2864, 0.4832)
Ga (0.1837, 0.3673, 0.6084)
Cu (0.4344, 0.8688, 0.7500)
Cu (0.5656, 0.1312, 0.2500)
Ga (0.1837, 0.3673, 0.8916)
Ba (0.7932, 0.5864, 0.7500)
Ga (0.4195, 0.8391, 0.2500)
Ba (0.2068, 0.4136, 0.2500)

---

Record 12
Crystalline Cs8SeO2 at its relaxed geometry. Source: the Alexandria database, functional PBE-GGA.

- uncorrected formation energy (eV/atom) = -0.807

Cell: 8.0223 10.2121 10.2121 Å, 84.48 85.54 85.54°
Positions (direct):
Cs (0.7467, 0.7335, 0.0346)
Cs (0.2533, 0.9654, 0.2665)
Cs (0.7467, 0.0346, 0.7335)
O (0.3739, 0.2063, 0.2063)
Cs (0.2869, 0.8007, 0.8007)
Cs (0.2603, 0.3744, 0.3744)
Cs (0.2533, 0.2665, 0.9654)
O (0.6261, 0.7937, 0.7937)
Cs (0.7131, 0.1993, 0.1993)
Cs (0.7397, 0.6256, 0.6256)
Se (0.0000, 0.0000, 0.0000)

---

| no. | Fermi-level density of states (states/eV/atom) | spin magnetization (μB/f.u.) |
| --- | --- | --- |
| 1 | 0.550 | 2.06 |
| 2 | 0.830 | 0.00 |
| 3 | 0.472 | 0.00 |
| 4 | 2.721 | 2.50 |
| 5 | 0.462 | 0.00 |
| 6 | 1.089 | 2.03 |
| 7 | 0.864 | 0.00 |
| 8 | 0.551 | 3.00 |
| 9 | 1.159 | 0.66 |
| 10 | 0.869 | 0.51 |
| 11 | 0.529 | 0.00 |
| 12 | 0.327 | 0.00 |